[1]
This record from Alexandria via LeMat-Bulk describes an optimized crystal structure of Ac3TbS6. The functional is PBE.

## Properties
DOS(E_F) ... 0.000 states/eV per cell
Offset from the most stable computed form ... 0 meV per atom
Calculated volume ... 631 Å³/cell
E_form (uncorrected) ... -2151 meV per atom

Cell lengths 8.5811, 8.5811, 8.5811 Å; angles 92.02, 92.02, 92.02 degrees
Last column: nearest neighbours and their distance in Å.
Fractional coordinates of all 20 atoms:
1 Ac 0.0681 0.5759 0.7521  6 S 2.96-3.02
2 Ac 0.2479 0.9319 0.4241  6 S 2.96-3.02
3 Ac 0.4241 0.2479 0.9319  6 S 2.96-3.02
4 Ac 0.5759 0.7521 0.0681  6 S 2.96-3.02
5 Ac 0.7521 0.0681 0.5759  6 S 2.96-3.02
6 Ac 0.9319 0.4241 0.2479  6 S 2.96-3.02
7 Tb 0.0000 0.0000 0.0000  6 S 2.74
8 Tb 0.5000 0.5000 0.5000  6 S 2.79
9 S 0.0411 0.9134 0.6941  1 Tb 2.74, 3 Ac 2.97-3.02
10 S 0.0866 0.3059 0.9589  1 Tb 2.74, 3 Ac 2.97-3.02
11 S 0.1955 0.5826 0.4282  1 Tb 2.79, 3 Ac 2.96-3.02
12 S 0.3059 0.9589 0.0866  1 Tb 2.74, 3 Ac 2.97-3.02
13 S 0.4174 0.5718 0.8045  1 Tb 2.79, 3 Ac 2.96-3.02
14 S 0.4282 0.1955 0.5826  1 Tb 2.79, 3 Ac 2.96-3.02
15 S 0.5718 0.8045 0.4174  1 Tb 2.79, 3 Ac 2.96-3.02
16 S 0.5826 0.4282 0.1955  1 Tb 2.79, 3 Ac 2.96-3.02
17 S 0.6941 0.0411 0.9134  1 Tb 2.74, 3 Ac 2.97-3.02
18 S 0.8045 0.4174 0.5718  1 Tb 2.79, 3 Ac 2.96-3.02
19 S 0.9134 0.6941 0.0411  1 Tb 2.74, 3 Ac 2.97-3.02
20 S 0.9589 0.0866 0.3059  1 Tb 2.74, 3 Ac 2.97-3.02

[2]
This record from Alexandria via LeMat-Bulk describes an optimized crystal structure of AcTb4S5. The functional is PBE.

## Properties
DOS(E_F) ... 4.952 states/eV per cell
Calculated volume ... 228 Å³/cell
E_form (uncorrected) ... -1965 meV per atom

Cell lengths 10.6473, 10.6473, 10.6473 Å; angles 158.47, 148.95, 38.09 degrees
Last column: nearest neighbours and their distance in Å.
Fractional coordinates of all 10 atoms:
1 Ac 0.0000 0.0000 0.0000  6 S 2.85-2.98
2 Tb 0.2044 0.2044 0.0000  6 S 2.75-2.85
3 Tb 0.3990 0.3990 0.0000  6 S 2.80-2.86
4 Tb 0.6010 0.6010 0.0000  6 S 2.80-2.86
5 Tb 0.7956 0.7956 0.0000  6 S 2.75-2.85
6 S 0.1100 0.6100 0.5000  4 Tb 2.75-2.86, 2 Ac 2.98
7 S 0.3014 0.8014 0.5000  6 Tb 2.79-2.85
8 S 0.5000 0.0000 0.5000  4 Tb 2.84, 2 Ac 2.85
9 S 0.6986 0.1986 0.5000  6 Tb 2.79-2.85
10 S 0.8900 0.3900 0.5000  4 Tb 2.75-2.86, 2 Ac 2.98